# 1
! ZrIrRh2 (GGA-PBE, relaxed); values from VASP
&SYSTEM
  ibrav = 0, nat = 4, ntyp = 3
/
ATOMIC_SPECIES
Zr 91.22 Zr.upf
Rh 102.91 Rh.upf
Ir 192.22 Ir.upf
ATOMIC_POSITIONS crystal
Zr 0.2500 0.2500 0.2500
Rh 0.4954 0.4954 0.4954
Rh 0.0046 0.0046 0.0046
Ir 0.7500 0.7500 0.7500
CELL_PARAMETERS angstrom
-9.0229 2.1404 1.1024
-9.3024 0.0800 -0.8174
-9.1191 -0.5635 1.9324
! **Calculated volume**: 64 Å³/cell
! **Size of the total moment**: 0.000 μB per formula unit
! **Theoretical density**: 12.739 g/cm3
! **Crystal system**: trigonal
! **Total DFT energy (no corrections)**: -8.069 eV per atom
! **Energy of formation from the pure elements**: -4.0 kJ per mole of atoms

# 2
! CaAg2Sb (GGA-PBE, relaxed); values from VASP
&SYSTEM
  ibrav = 0, nat = 4, ntyp = 3
/
ATOMIC_SPECIES
Ag 107.87 Ag.upf
Ca 40.08 Ca.upf
Sb 121.76 Sb.upf
ATOMIC_POSITIONS crystal
Ag 0.0000 0.0000 0.4975
Ag 0.0000 0.0000 0.0025
Ca 0.5000 0.5000 0.2500
Sb 0.5000 0.5000 0.7500
CELL_PARAMETERS angstrom
3.9009 0.0030 0.0000
-0.0054 3.9010 0.0000
0.0000 0.0000 6.2104
! **Calculated volume**: 95 Å³/cell
! **Size of the total moment**: 0.000 μB per formula unit
! **Theoretical density**: 6.634 g/cm3
! **Crystal system**: tetragonal
! **Total DFT energy (no corrections)**: -3.184 eV per atom
! **E_form (uncorrected)**: -0.228 eV per atom

# 3
! Tb2Ho7Tm4 (GGA-PBE, relaxed); values from VASP
&SYSTEM
  ibrav = 0, nat = 13, ntyp = 3
/
ATOMIC_SPECIES
Tb 158.93 Tb.upf
Ho 164.93 Ho.upf
Tm 168.93 Tm.upf
ATOMIC_POSITIONS crystal
Tb 0.6667 0.3333 0.0000
Tb 0.3333 0.6667 0.0000
Ho 0.3553 0.0000 0.2172
Ho 0.3553 0.3553 0.7828
Ho 0.0000 0.6447 0.7828
Ho 0.6447 0.6447 0.2172
Ho 0.0000 0.0000 0.0000
Ho 0.6447 0.0000 0.7828
Ho 0.0000 0.3553 0.2172
Tm 0.3333 0.6667 0.5000
Tm 0.6667 0.3333 0.5000
Tm 0.0000 0.0000 0.3944
Tm 0.0000 0.0000 0.6056
CELL_PARAMETERS angstrom
6.0009 0.0000 -0.0001
-3.0004 5.1970 0.0001
0.0000 0.0000 13.1133
! **Calculated volume**: 409 Å³/cell
! **Size of the total moment**: 0.000 μB per formula unit
! **Theoretical density**: 8.722 g/cm3
! **Crystal system**: trigonal
! **Total DFT energy (no corrections)**: -4.365 eV per atom
! **Energy of formation from the pure elements**: 18.1 kJ per mole of atoms